No. 1
Material: Nd4DyEr2Tm
Method: DFT, PBE-GGA
State: optimized geometry

Values from the calculation:
volume = 262 Å³/cell
magnetization = 0.000 μB/atom
energy relative to the elements = 1.7 kJ/mol of atoms
DOS at the Fermi energy = 10.7 states/eV per cell

a b c (Å): 5.1132 5.1359 9.9940
angles (deg): 90.00 90.00 90.00
Space group Pmmm (No. 47)
Inequivalent atoms, fractional coordinates:
Nd: 0.0000 0.0000 0.2492 (multiplicity 2)
Nd: 0.5000 0.5000 0.2489 (multiplicity 2)
Dy: 0.0000 0.5000 0.5000 (multiplicity 1)
Er: 0.0000 0.5000 0.0000 (multiplicity 1)
Er: 0.5000 0.0000 0.5000 (multiplicity 1)
Tm: 0.5000 0.0000 0.0000 (multiplicity 1)

---

No. 2
Material: Ca2Ga4IrRh3
Method: DFT, PBE-GGA
State: optimized geometry

Values from the calculation:
volume = 186 Å³/cell
magnetization = 0.000 μB/atom
energy relative to the elements = -65.2 kJ/mol of atoms
DOS at the Fermi energy = 3.4 states/eV per cell

a b c (Å): 4.3112 4.3112 9.9977
angles (deg): 90.00 90.00 90.00
Space group P-4m2 (No. 115)
Inequivalent atoms, fractional coordinates:
Ca: 0.0000 0.5000 0.2351 (multiplicity 2)
Ga: 0.0000 0.0000 0.5000 (multiplicity 1)
Ga: 0.0000 0.5000 0.8739 (multiplicity 2)
Ga: 0.5000 0.5000 0.5000 (multiplicity 1)
Ir: 0.5000 0.5000 0.0000 (multiplicity 1)
Rh: 0.0000 0.0000 0.0000 (multiplicity 1)
Rh: 0.0000 0.5000 0.6256 (multiplicity 2)

---

No. 3
Material: TlMo2Pb
Method: DFT, PBE-GGA
State: optimized geometry

Values from the calculation:
volume = 159 Å³/cell
magnetization = 0.000 μB/atom
energy relative to the elements = 83.9 kJ/mol of atoms
energy above the most stable polymorph in this dataset = 0.4594 eV per atom
DOS at the Fermi energy = 9.0 states/eV per cell

a b c (Å): 9.4330 3.1661 5.4450
angles (deg): 90.00 101.77 90.00
Space group C2/m (No. 12)
Inequivalent atoms, fractional coordinates:
Tl: 0.0000 0.0000 0.0000 (multiplicity 2)
Mo: 0.2491 0.0000 0.7652 (multiplicity 4)
Pb: 0.0000 0.5000 0.5000 (multiplicity 2)

---

No. 4
Material: Al3HPd
Method: DFT, PBE-GGA
State: optimized geometry

Values from the calculation:
volume = 64 Å³/cell
magnetization = 0.000 μB/atom
energy above the most stable polymorph in this dataset = 0.0000 eV per atom
DOS at the Fermi energy = 2.0 states/eV per cell

a b c (Å): 4.0016 4.0016 4.0016
angles (deg): 90.00 90.00 90.00
Space group Pm-3m (No. 221)
Inequivalent atoms, fractional coordinates:
Al: 0.0000 0.0000 0.5000 (multiplicity 3)
H: 0.0000 0.0000 0.0000 (multiplicity 1)
Pd: 0.5000 0.5000 0.5000 (multiplicity 1)

---

No. 5
Material: KYAs2Se
Method: DFT, PBE-GGA
State: optimized geometry

Values from the calculation:
volume = 147 Å³/cell
formation energy without anion corrections = 0.66 eV per atom
magnetization = 0.000 μB/atom
energy above the most stable polymorph in this dataset = 1.0535 eV per atom
DOS at the Fermi energy = 5.3 states/eV per cell

a b c (Å): 5.2161 5.2161 5.3895
angles (deg): 90.00 90.00 90.00
Space group P4/mmm (No. 123)
Inequivalent atoms, fractional coordinates:
K: 0.0000 0.0000 0.0000 (multiplicity 1)
Y: 0.5000 0.5000 0.5000 (multiplicity 1)
As: 0.0000 0.5000 0.0000 (multiplicity 2)
Se: 0.0000 0.0000 0.5000 (multiplicity 1)

---

No. 6
Material: Rb2HoNpS4
Method: DFT, PBE-GGA
State: optimized geometry

Values from the calculation:
volume = 224 Å³/cell
formation energy without anion corrections = -1.59 eV per atom
magnetization = 0.500 μB/atom
DOS at the Fermi energy = 7.9 states/eV per cell

a b c (Å): 7.1150 4.1009 8.0349
angles (deg): 90.00 107.21 90.00
Space group P2/m (No. 10)
Inequivalent atoms, fractional coordinates:
Rb: 0.0000 0.0000 0.0000 (multiplicity 1)
Rb: 0.5000 0.5000 0.0000 (multiplicity 1)
Ho: 0.0000 0.5000 0.5000 (multiplicity 1)
Np: 0.5000 0.0000 0.5000 (multiplicity 1)
S: 0.2263 0.0000 0.6919 (multiplicity 2)
S: 0.2669 0.5000 0.3093 (multiplicity 2)

---

No. 7
Material: Ca2CdMo
Method: DFT, PBE-GGA
State: optimized geometry

Values from the calculation:
volume = 306 Å³/cell
magnetization = 0.000 μB/atom
energy relative to the elements = 60.2 kJ/mol of atoms
DOS at the Fermi energy = 14.4 states/eV per cell

a b c (Å): 3.3038 3.3038 32.4232
angles (deg): 90.00 90.00 120.00
Space group R3m (No. 160, hexagonal axes)
Inequivalent atoms, fractional coordinates:
Ca: 0.0000 0.0000 0.0000 (multiplicity 3)
Ca: 0.0000 0.0000 0.2281 (multiplicity 3)
Cd: 0.0000 0.0000 0.7499 (multiplicity 3)
Mo: 0.0000 0.0000 0.4866 (multiplicity 3)

---

No. 8
Material: CaGdSb2
Method: DFT, PBE-GGA
State: optimized geometry

Values from the calculation:
volume = 113 Å³/cell
formation energy without anion corrections = -0.87 eV per atom
magnetization = 1.831 μB/atom
energy above the most stable polymorph in this dataset = 0.0675 eV per atom
DOS at the Fermi energy = 2.6 states/eV per cell

a b c (Å): 5.7532 5.7532 3.4003
angles (deg): 90.00 90.00 90.00
Space group P4/mmm (No. 123)
Inequivalent atoms, fractional coordinates:
Ca: 0.0000 0.0000 0.0000 (multiplicity 1)
Gd: 0.5000 0.5000 0.0000 (multiplicity 1)
Sb: 0.0000 0.5000 0.5000 (multiplicity 2)

---

Copy entry 5 word for word.
Material: KYAs2Se
Method: DFT, PBE-GGA
State: optimized geometry

Values from the calculation:
volume = 147 Å³/cell
formation energy without anion corrections = 0.66 eV per atom
magnetization = 0.000 μB/atom
energy above the most stable polymorph in this dataset = 1.0535 eV per atom
DOS at the Fermi energy = 5.3 states/eV per cell

a b c (Å): 5.2161 5.2161 5.3895
angles (deg): 90.00 90.00 90.00
Space group P4/mmm (No. 123)
Inequivalent atoms, fractional coordinates:
K: 0.0000 0.0000 0.0000 (multiplicity 1)
Y: 0.5000 0.5000 0.5000 (multiplicity 1)
As: 0.0000 0.5000 0.0000 (multiplicity 2)
Se: 0.0000 0.0000 0.5000 (multiplicity 1)

---

What did the fifth record say?
Material: KYAs2Se
Method: DFT, PBE-GGA
State: optimized geometry

Values from the calculation:
volume = 147 Å³/cell
formation energy without anion corrections = 0.66 eV per atom
magnetization = 0.000 μB/atom
energy above the most stable polymorph in this dataset = 1.0535 eV per atom
DOS at the Fermi energy = 5.3 states/eV per cell

a b c (Å): 5.2161 5.2161 5.3895
angles (deg): 90.00 90.00 90.00
Space group P4/mmm (No. 123)
Inequivalent atoms, fractional coordinates:
K: 0.0000 0.0000 0.0000 (multiplicity 1)
Y: 0.5000 0.5000 0.5000 (multiplicity 1)
As: 0.0000 0.5000 0.0000 (multiplicity 2)
Se: 0.0000 0.0000 0.5000 (multiplicity 1)

---

Copy entry 4 word for word.
Material: Al3HPd
Method: DFT, PBE-GGA
State: optimized geometry

Values from the calculation:
volume = 64 Å³/cell
magnetization = 0.000 μB/atom
energy above the most stable polymorph in this dataset = 0.0000 eV per atom
DOS at the Fermi energy = 2.0 states/eV per cell

a b c (Å): 4.0016 4.0016 4.0016
angles (deg): 90.00 90.00 90.00
Space group Pm-3m (No. 221)
Inequivalent atoms, fractional coordinates:
Al: 0.0000 0.0000 0.5000 (multiplicity 3)
H: 0.0000 0.0000 0.0000 (multiplicity 1)
Pd: 0.5000 0.5000 0.5000 (multiplicity 1)